A relaxed Tb3DyHo2P6 crystal, computed with PBE.

a = 6.947 Å, b = 6.947 Å, c = 6.947 Å
α = 99.58°, β = 99.58°, γ = 119.99°
Fractional positions:
P (0.583, 0.917, 0.752)
P (0.417, 0.083, 0.248)
P (0.083, 0.417, 0.248)
Ho (0.667, 0.333, 0.000)
Tb (0.167, 0.833, 0.500)
P (0.917, 0.583, 0.752)
Ho (0.333, 0.667, 0.000)
Tb (0.833, 0.167, 0.500)
Tb (0.500, 0.500, 0.500)
P (0.251, 0.251, 0.752)
Dy (0.000, 0.000, 0.000)
P (0.749, 0.749, 0.248)

Properties
DOS at the Fermi energy (states/eV/cell): 1.7
Formation energy from the elements (eV per formula unit): -19.36